Entry 1:
The following is a DFT calculation (GGA-PBE) of a relaxed PmNd2Er crystal.

Values from the calculation:
The value obtained for the energy above the most stable polymorph in this dataset is 0.38 eV per formula unit. The calculation puts the formation energy at 0.4 eV/f.u. The value obtained for the magnetization is 0.0 μB per formula unit.

Cell lengths 3.750, 5.982, 12.117 Å; angles 90.00, 90.00, 90.00 degrees
Atoms (fractional coordinates):
1 Pm 0.000 0.000 0.000
2 Pm 0.500 0.500 0.500
3 Nd 0.000 0.000 0.522
4 Nd 0.000 0.500 0.760
5 Nd 0.500 0.000 0.260
6 Nd 0.500 0.500 0.022
7 Er 0.000 0.500 0.261
8 Er 0.500 0.000 0.761

Entry 2:
The following is a DFT calculation (GGA-PBE) of a relaxed PmPr4Ho15 crystal.

Values from the calculation:
The calculation puts the formation energy at 0.4 eV/f.u. The value obtained for the magnetization is 0.0 μB per formula unit.

Cell lengths 5.055, 5.055, 25.128 Å; angles 90.00, 90.00, 90.00 degrees
Atoms (fractional coordinates):
1 Pm 0.000 0.000 0.000
2 Pr 0.000 0.000 0.200
3 Pr 0.000 0.000 0.400
4 Pr 0.000 0.000 0.600
5 Pr 0.000 0.000 0.800
6 Ho 0.000 0.500 0.099
7 Ho 0.000 0.500 0.300
8 Ho 0.000 0.500 0.500
9 Ho 0.000 0.500 0.700
10 Ho 0.000 0.500 0.901
11 Ho 0.500 0.000 0.099
12 Ho 0.500 0.000 0.300
13 Ho 0.500 0.000 0.500
14 Ho 0.500 0.000 0.700
15 Ho 0.500 0.000 0.901
16 Ho 0.500 0.500 0.000
17 Ho 0.500 0.500 0.200
18 Ho 0.500 0.500 0.400
19 Ho 0.500 0.500 0.600
20 Ho 0.500 0.500 0.800

Entry 3:
The following is a DFT calculation (GGA-PBE) of a relaxed CaTb2Sm3S6 crystal.

Values from the calculation:
The uncorrected formation energy is -2.031 eV per atom. The value obtained for the magnetization is 0.0 μB per formula unit.

Cell lengths 6.881, 6.881, 6.914 Å; angles 99.49, 99.49, 120.05 degrees
Atoms (fractional coordinates):
1 Ca 0.000 0.000 0.000
2 Tb 0.333 0.667 0.000
3 Tb 0.667 0.333 0.000
4 Sm 0.165 0.835 0.500
5 Sm 0.500 0.500 0.500
6 Sm 0.835 0.165 0.500
7 S 0.081 0.415 0.244
8 S 0.253 0.253 0.759
9 S 0.415 0.081 0.244
10 S 0.585 0.919 0.756
11 S 0.747 0.747 0.241
12 S 0.919 0.585 0.756

Entry 4:
The following is a DFT calculation (GGA-PBE) of a relaxed CoB3N3 crystal.

Values from the calculation:
The uncorrected formation energy is 0.174 eV per atom. The value obtained for the magnetization is 1.2 μB per formula unit.

Cell lengths 4.575, 4.575, 4.575 Å; angles 90.00, 90.00, 90.00 degrees
Atoms (fractional coordinates):
1 Co 0.000 0.000 0.000
2 Co 0.500 0.500 0.500
3 B 0.000 0.250 0.500
4 B 0.000 0.750 0.500
5 B 0.250 0.500 0.000
6 B 0.500 0.000 0.250
7 B 0.500 0.000 0.750
8 B 0.750 0.500 0.000
9 N 0.000 0.500 0.250
10 N 0.000 0.500 0.750
11 N 0.250 0.000 0.500
12 N 0.500 0.250 0.000
13 N 0.500 0.750 0.000
14 N 0.750 0.000 0.500